No. 1
Here is a geometry-optimized Sm2AgPd5 structure from OQMD via LeMat-Bulk. Energies are from PBE.

Values from the calculation:
ΔH_f (0 K) ... -0.76 eV per atom
Crystal system ... tetragonal

extended XYZ file:
```
8
Lattice="-3.002 3.002 4.061 3.002 -3.002 4.061 3.002 3.002 -4.061" Properties=species:S:1:pos:R:3 pbc="T T T"
Ag 0.000 0.000 1.804
Pd -1.501 1.501 3.834
Pd 0.000 0.000 5.864
Pd 1.501 -1.501 3.834
Pd 1.501 1.501 3.834
Pd 1.501 1.501 -0.226
Sm 0.000 3.002 1.804
Sm 3.002 0.000 1.804
```

***

No. 2
Here is a geometry-optimized NbSiNiAu structure from OQMD via LeMat-Bulk. Energies are from PBE.

Values from the calculation:
DFT total energy ... -6.15 eV per atom
Crystal system ... cubic

extended XYZ file:
```
4
Lattice="-4.152 0.201 1.472 -3.347 -0.964 -2.704 -2.312 -3.708 0.589" Properties=species:S:1:pos:R:3 pbc="T T T"
Au -4.905 -2.235 -0.322
Nb -2.453 -1.118 -0.161
Ni -7.358 -3.353 -0.483
Si 0.000 0.000 0.000
```

***

No. 3
Here is a geometry-optimized Li4CdGaIr2 structure from OQMD via LeMat-Bulk. Energies are from PBE.

Values from the calculation:
DFT total energy ... -3.93 eV per atom
Crystal system ... tetragonal

extended XYZ file:
```
8
Lattice="-2.358 3.535 -0.597 -3.319 -2.422 -1.236 -1.986 -0.319 5.956" Properties=species:S:1:pos:R:3 pbc="T T T"
Cd 0.000 0.000 0.000
Ga -3.831 0.397 2.062
Ir -1.734 1.678 1.367
Ir -3.090 -1.441 3.673
Li -2.838 0.556 -0.916
Li -2.186 -1.296 0.960
Li -0.993 -0.159 2.978
Li -2.638 1.533 4.080
```

***

No. 4
Here is a geometry-optimized AlZnCuHg structure from OQMD via LeMat-Bulk. Energies are from PBE.

Values from the calculation:
ΔE to the lowest computed polymorph ... 0.000 eV/atom
Crystal system ... cubic

extended XYZ file:
```
4
Lattice="3.627 -1.664 2.170 0.485 0.679 4.465 -0.478 -3.471 2.890" Properties=species:S:1:pos:R:3 pbc="T T T"
Al 0.000 0.000 0.000
Cu 2.725 -3.342 7.144
Hg 0.908 -1.114 2.381
Zn 1.817 -2.228 4.763
```

***

No. 5
Here is a geometry-optimized TaCo2Au structure from OQMD via LeMat-Bulk. Energies are from PBE.

Values from the calculation:
ΔH_f (0 K) ... 0.21 eV per atom
Crystal system ... cubic

extended XYZ file:
```
4
Lattice="0.000 3.064 3.064 3.064 0.000 3.064 3.064 3.064 0.000" Properties=species:S:1:pos:R:3 pbc="T T T"
Au 4.596 4.596 4.596
Co 0.000 0.000 0.000
Co 1.532 1.532 1.532
Ta 3.064 3.064 3.064
```

***

No. 6
Here is a geometry-optimized HoSbPd structure from OQMD via LeMat-Bulk. Energies are from PBE.

Values from the calculation:
DFT total energy ... -5.64 eV per atom
Crystal system ... hexagonal

extended XYZ file:
```
9
Lattice="7.336 0.000 0.000 -3.668 6.353 0.000 0.000 0.000 4.232" Properties=species:S:1:pos:R:3 pbc="T T T"
Ho 4.310 0.000 2.116
Ho 1.513 2.621 2.116
Ho -2.155 3.732 2.116
Pd 1.919 0.000 0.000
Pd -0.960 1.662 0.000
Pd 2.708 4.691 0.000
Sb 3.668 2.118 0.000
Sb 0.000 4.235 0.000
Sb 0.000 0.000 2.116
```

***

No. 7
Here is a geometry-optimized Nd2Ge5Os3 structure from OQMD via LeMat-Bulk. Energies are from PBE.

Values from the calculation:
DFT total energy ... -7.08 eV per atom
Crystal system ... orthorhombic

extended XYZ file:
```
20
Lattice="5.353 -4.925 4.471 -4.748 7.017 1.059 -5.223 -6.754 -0.068" Properties=species:S:1:pos:R:3 pbc="T T T"
Ge 3.637 -3.836 4.247
Ge 0.179 -1.939 2.311
Ge 0.481 -0.893 5.076
Ge -1.390 0.047 3.328
Ge 0.216 -5.316 3.584
Ge -4.834 0.655 1.878
Ge -3.228 -4.709 2.134
Ge -5.099 -3.769 0.387
Ge -4.797 -2.723 3.152
Ge -8.255 -0.826 1.215
Nd -2.397 2.726 2.425
Nd -2.664 -1.538 0.873
Nd -1.954 -3.123 4.589
Nd -2.221 -7.388 3.038
Os 0.151 0.523 1.383
Os 0.454 1.569 4.148
Os 1.314 -3.105 4.225
Os -0.920 -4.100 1.652
Os -3.698 -0.562 3.811
Os -5.932 -1.557 1.238
```

***

No. 8
Here is a geometry-optimized LuBeFeAs structure from OQMD via LeMat-Bulk. Energies are from PBE.

Values from the calculation:
ΔE to the lowest computed polymorph ... 0.096 eV/atom
Crystal system ... cubic

extended XYZ file:
```
4
Lattice="-2.669 -2.311 2.434 -4.231 0.199 -0.673 -2.064 -3.363 -1.679" Properties=species:S:1:pos:R:3 pbc="T T T"
As 0.000 0.000 0.000
Be -2.241 -1.369 0.020
Fe -6.723 -4.107 0.061
Lu -4.482 -2.738 0.041
```

***

No. 9
Here is a geometry-optimized DyY2Ho3CoTe2 structure from OQMD via LeMat-Bulk. Energies are from PBE.

Values from the calculation:
DFT total energy ... -4.69 eV per atom
Crystal system ... orthorhombic

extended XYZ file:
```
9
Lattice="3.227 0.000 0.000 0.000 8.235 4.759 0.000 -8.235 4.759" Properties=species:S:1:pos:R:3 pbc="T T T"
Co 0.000 0.000 9.492
Dy 0.000 0.000 3.247
Ho 0.000 2.583 1.509
Ho 0.000 -2.583 1.509
Ho 0.000 0.000 6.501
Te 0.000 2.752 4.763
Te 0.000 -2.752 4.763
Y 0.000 5.440 3.144
Y 0.000 -5.440 3.144
```

***

No. 10
Here is a geometry-optimized ScNbN2O structure from OQMD via LeMat-Bulk. Energies are from PBE.

Values from the calculation:
DFT total energy ... -8.81 eV per atom
Crystal system ... hexagonal

extended XYZ file:
```
30
Lattice="-0.424 1.632 -5.440 -0.757 -5.469 1.400 -13.482 2.314 1.746" Properties=species:S:1:pos:R:3 pbc="T T T"
N -1.616 -1.211 -0.237
N -2.023 -4.146 0.514
N -2.251 -3.270 -2.406
N -5.724 -0.506 0.295
N -6.130 -3.441 1.046
N -6.358 -2.565 -1.874
N -8.306 1.043 -0.421
N -8.534 1.918 -3.340
N -8.940 -1.016 -2.589
N -12.414 1.747 0.111
N -12.641 2.623 -2.808
N -13.048 -0.311 -2.057
Nb 0.000 0.000 0.000
Nb -2.592 -2.768 -0.628
Nb -5.442 -2.279 -0.259
Nb -6.741 1.157 0.873
Nb -9.222 0.756 -2.035
Nb -12.072 1.245 -1.666
O -3.614 1.243 -2.327
O -3.956 -1.224 -1.695
O -4.148 -0.488 -4.150
O -10.517 -1.035 1.855
O -10.708 -0.298 -0.599
O -11.050 -2.766 0.032
Sc -2.450 -0.406 -2.912
Sc -3.371 0.578 0.437
Sc -5.362 0.094 -2.535
Sc -9.302 -1.616 0.241
Sc -10.112 1.735 1.310
Sc -12.214 -1.116 0.618
```

***

No. 11
Here is a geometry-optimized SrNbAl structure from OQMD via LeMat-Bulk. Energies are from PBE.

Values from the calculation:
ΔE to the lowest computed polymorph ... 0.000 eV/atom
Crystal system ... cubic

extended XYZ file:
```
3
Lattice="-4.509 -1.297 1.439 -0.806 -4.498 1.790 -0.974 -0.604 4.772" Properties=species:S:1:pos:R:3 pbc="T T T"
Al -1.572 -1.600 2.000
Nb 0.000 0.000 0.000
Sr -4.717 -4.799 6.001
```

***

No. 12
Here is a geometry-optimized PuBi structure from OQMD via LeMat-Bulk. Energies are from PBE.

Values from the calculation:
DFT total energy ... -9.51 eV per atom
Crystal system ... cubic

extended XYZ file:
```
2
Lattice="0.000 3.196 3.196 3.196 0.000 3.196 3.196 3.196 0.000" Properties=species:S:1:pos:R:3 pbc="T T T"
Bi 0.000 0.000 0.000
Pu 3.196 3.196 3.196
```